# GePdI3

A relaxed GePdI3 crystal (PBE-GGA, Alexandria).

Its energy relative to the elements, uncorrected is 0.434 eV/atom. The value obtained for the total magnetization is 0.73 μB/f.u.

The space group is Pm-3m (No. 221) and the conventional cell measures 5.726, 5.726 and 5.726 Å, with angles of 90.00, 90.00 and 90.00 degrees. The inequivalent atoms are Ge at (0.000, 0.000, 0.000), Pd at (0.500, 0.500, 0.500) and I at (0.000, 0.000, 0.500).